{"formula": "CrRuRh2", "functional": "PBE-GGA", "state": "optimized geometry", "cell": [[-3.315, 3.119, -0.888], [-0.901, -2.113, 4.028], [1.423, 1.885, 1.307]], "species": ["Ru", "Rh", "Rh", "Cr"], "frac_coords": [[0.500, 0.000, 0.500], [0.500, 0.500, 0.000], [0.000, 0.000, 0.000], [0.000, 0.500, 0.500]], "crystal_system": "orthorhombic", "volume_a3_per_cell": 55, "ef_ev_per_atom": -0.014, "dos_ef_per_ev_atom": 1.22, "space_group": "Cmmm, No. 65"}



{"formula": "TiClF3", "functional": "PBE-GGA", "state": "optimized geometry", "cell": [[4.010, 0.000, 0.000], [0.000, 4.010, 0.000], [0.000, 0.000, 4.010]], "species": ["F", "F", "F", "Cl", "Ti"], "frac_coords": [[0.000, 0.000, 0.500], [0.500, 0.000, 0.000], [0.000, 0.500, 0.000], [0.500, 0.500, 0.500], [0.000, 0.000, 0.000]], "polymorph_energy_ev_per_atom": 0.5259, "crystal_system": "cubic", "volume_a3_per_cell": 64, "dos_ef_per_ev_atom": 1.88, "space_group": "Pm-3m, No. 221", "formation_energy_uncorrected_mev_per_atom": -2313}



{"formula": "TiInC3", "functional": "PBE-GGA", "state": "optimized geometry", "cell": [[4.116, 0.000, 0.000], [0.000, 4.116, 0.000], [0.000, 0.000, 4.116]], "species": ["C", "C", "C", "In", "Ti"], "frac_coords": [[0.000, 0.000, 0.500], [0.000, 0.500, 0.000], [0.500, 0.000, 0.000], [0.500, 0.500, 0.500], [0.000, 0.000, 0.000]], "polymorph_energy_ev_per_atom": 0.0000, "crystal_system": "cubic", "volume_a3_per_cell": 70, "ef_ev_per_atom": 1.739, "dos_ef_per_ev_atom": 0.53, "space_group": "Pm-3m, No. 221"}



{"formula": "Ca2GaAu2", "functional": "PBE-GGA", "state": "optimized geometry", "cell": [[-1.360, 4.774, -3.089], [-3.150, 2.012, 4.497], [0.870, 5.182, 2.092]], "species": ["Ca", "Ca", "Au", "Au", "Ga"], "frac_coords": [[0.250, 0.750, 0.500], [0.750, 0.250, 0.500], [0.671, 0.671, 0.658], [0.329, 0.329, 0.342], [0.000, 0.000, 0.000]], "crystal_system": "tetragonal", "volume_a3_per_cell": 132, "ef_ev_per_atom": -0.521, "dos_ef_per_ev_atom": 0.67, "space_group": "I4/mmm, No. 139"}



{"formula": "PuPa3N7", "functional": "PBE-GGA", "state": "optimized geometry", "cell": [[-3.490, 5.382, 1.487], [-0.304, -1.118, -6.482], [-6.187, -4.297, 1.031]], "species": ["N", "N", "N", "N", "N", "N", "N", "N", "N", "N", "N", "N", "N", "N", "Pa", "Pa", "Pa", "Pa", "Pa", "Pa", "Pu", "Pu"], "frac_coords": [[0.628, 0.372, 0.750], [0.093, 0.907, 0.750], [0.366, 0.634, 0.750], [0.372, 0.628, 0.250], [0.344, 0.095, 0.023], [0.634, 0.366, 0.250], [0.095, 0.344, 0.977], [0.905, 0.656, 0.477], [0.656, 0.905, 0.977], [0.095, 0.344, 0.523], [0.344, 0.095, 0.477], [0.656, 0.905, 0.523], [0.907, 0.093, 0.250], [0.905, 0.656, 0.023], [0.500, 0.500, 0.500], [0.004, 0.527, 0.750], [0.500, 0.500, 0.000], [0.996, 0.473, 0.250], [0.527, 0.004, 0.250], [0.473, 0.996, 0.750], [0.000, 0.000, 0.000], [0.000, 0.000, 0.500]], "crystal_system": "orthorhombic", "volume_a3_per_cell": 310, "dos_ef_per_ev_atom": 0.49, "space_group": "Cmcm, No. 63", "formation_energy_uncorrected_mev_per_atom": -1506}



{"formula": "Li3Zn5Ag2", "functional": "PBE-GGA", "state": "optimized geometry", "cell": [[-1.426, 3.862, 2.720], [-7.612, -2.259, 3.691], [5.371, 0.269, 6.910]], "species": ["Li", "Li", "Li", "Li", "Li", "Li", "Zn", "Zn", "Zn", "Zn", "Zn", "Zn", "Zn", "Zn", "Zn", "Zn", "Ag", "Ag", "Ag", "Ag"], "frac_coords": [[0.105, 0.230, 0.561], [0.395, 0.439, 0.770], [0.750, 0.000, 0.000], [0.895, 0.770, 0.439], [0.605, 0.561, 0.230], [0.250, 0.000, 0.000], [0.498, 0.752, 0.752], [0.250, 0.500, 0.500], [0.750, 0.500, 0.500], [0.285, 0.380, 0.050], [0.215, 0.950, 0.620], [0.715, 0.620, 0.950], [0.998, 0.752, 0.752], [0.502, 0.248, 0.248], [0.002, 0.248, 0.248], [0.785, 0.050, 0.380], [0.096, 0.723, 0.085], [0.596, 0.085, 0.723], [0.904, 0.277, 0.915], [0.404, 0.915, 0.277]], "crystal_system": "orthorhombic", "volume_a3_per_cell": 331, "ef_ev_per_atom": -0.051, "dos_ef_per_ev_atom": 0.33, "space_group": "Ibam, No. 72"}



{"formula": "Nb2TlCdBr", "functional": "PBE-GGA", "state": "optimized geometry", "cell": [[-0.075, -2.146, -5.054], [4.744, -3.102, 1.247], [-3.162, -4.114, 1.794]], "species": ["Cd", "Nb", "Nb", "Tl", "Br"], "frac_coords": [[0.500, 0.500, 0.500], [0.000, 0.000, 0.500], [0.500, 0.000, 0.000], [0.000, 0.000, 0.000], [0.000, 0.500, 0.000]], "crystal_system": "tetragonal", "volume_a3_per_cell": 175, "dos_ef_per_ev_atom": 1.75, "space_group": "P4/mmm, No. 123", "formation_energy_uncorrected_mev_per_atom": 1661}



{"formula": "KLaIn2", "functional": "PBE-GGA", "state": "optimized geometry", "cell": [[9.060, 0.000, 0.000], [0.000, 9.060, 0.000], [4.530, 4.530, 3.541]], "species": ["In", "In", "In", "In", "La", "La", "K", "K"], "frac_coords": [[0.375, 0.360, 0.750], [0.110, 0.625, 0.250], [0.640, 0.125, 0.250], [0.875, 0.890, 0.750], [0.000, 0.000, 0.000], [0.750, 0.250, 0.500], [0.250, 0.750, 0.500], [0.500, 0.500, 0.000]], "polymorph_energy_ev_per_atom": 0.3828, "crystal_system": "tetragonal", "volume_a3_per_cell": 291, "ef_ev_per_atom": 0.135, "dos_ef_per_ev_atom": 0.72, "space_group": "I-42d, No. 122"}



{"formula": "La7NdTm12", "functional": "PBE-GGA", "state": "optimized geometry", "cell": [[-8.349, 2.819, -4.243], [7.167, -0.102, -6.654], [-1.108, -8.971, 3.735]], "species": ["La", "La", "La", "La", "La", "La", "La", "Tm", "Tm", "Tm", "Tm", "Tm", "Tm", "Tm", "Tm", "Tm", "Tm", "Tm", "Tm", "Nd"], "frac_coords": [[0.500, 0.500, 0.500], [0.500, 0.000, 0.500], [0.500, 0.500, 0.000], [0.000, 0.000, 0.500], [0.000, 0.500, 0.000], [0.500, 0.000, 0.000], [0.000, 0.500, 0.500], [0.503, 0.751, 0.752], [0.751, 0.248, 0.000], [0.752, 0.503, 0.751], [0.249, 0.752, 0.000], [0.248, 0.000, 0.751], [0.000, 0.751, 0.248], [0.752, 0.000, 0.249], [0.497, 0.249, 0.248], [0.248, 0.497, 0.249], [0.000, 0.249, 0.752], [0.751, 0.752, 0.503], [0.249, 0.248, 0.497], [0.000, 0.000, 0.000]], "crystal_system": "cubic", "volume_a3_per_cell": 720, "ef_ev_per_atom": 0.632, "dos_ef_per_ev_atom": 1.58, "space_group": "Im-3m, No. 229"}